Entry 1:
The following is a DFT calculation (PBE-GGA) of a relaxed structure of TaMnTl2.

Structure (POSCAR):
```
TaMnTl2
1.0
3.038 0.000 0.000
0.000 3.038 0.000
0.000 0.000 8.619
Ta Mn Tl
1 1 2
Direct
0.000 0.000 0.000
0.000 0.000 0.500
0.500 0.500 0.262
0.500 0.500 0.738
```

Crystal system: tetragonal
ΔH_f (0 K) in eV/atom: 0.60
E above lowest polymorph in meV/atom: 202
Total magnetization in μB/f.u.: 3.43
Calculated total energy in eV for the cell shown: -23.35
SG: P4/mmm (123)



Entry 2:
The following is a DFT calculation (PBE-GGA) of a relaxed structure of TaMn2Tl.

Structure (POSCAR):
```
TaMn2Tl
1.0
0.000 3.130 3.130
3.130 0.000 3.130
3.130 3.130 0.000
Ta Mn Tl
1 2 1
Direct
0.000 0.000 0.000
0.250 0.250 0.250
0.750 0.750 0.750
0.500 0.500 0.500
```

Crystal system: cubic
ΔH_f (0 K) in eV/atom: 0.39
E above lowest polymorph in meV/atom: 163
Total magnetization in μB/f.u.: 2.00
Calculated total energy in eV for the cell shown: -31.02
SG: Fm-3m (225)



Entry 3:
The following is a DFT calculation (PBE-GGA) of a relaxed structure of Ta2MnTlZn.

Structure (POSCAR):
```
Ta2MnTlZn
1.0
4.589 0.000 0.000
0.000 4.589 0.000
0.000 0.000 4.721
Ta Mn Tl Zn
2 1 1 1
Direct
0.000 0.500 0.000
0.500 0.000 0.000
0.000 0.000 0.000
0.500 0.500 0.500
0.000 0.000 0.500
```

Crystal system: tetragonal
ΔH_f (0 K) in eV/atom: 0.83
Total magnetization in μB/f.u.: 0.00
Calculated total energy in eV for the cell shown: -32.35
SG: P4/mmm (123)



Entry 4:
The following is a DFT calculation (PBE-GGA) of a relaxed structure of TmTaMn4.

Structure (POSCAR):
```
TmTaMn4
1.0
0.000 3.495 3.495
3.495 0.000 3.495
3.495 3.495 0.000
Tm Ta Mn
1 1 4
Direct
0.000 0.000 0.000
0.250 0.250 0.250
0.127 0.624 0.624
0.624 0.127 0.624
0.624 0.624 0.127
0.624 0.624 0.624
```

Crystal system: cubic
ΔH_f (0 K) in eV/atom: -0.03
Total magnetization in μB/f.u.: 3.08
Calculated total energy in eV for the cell shown: -53.20
SG: F-43m (216)



Entry 5:
The following is a DFT calculation (PBE-GGA) of a relaxed structure of TmTa2Mn9.

Structure (POSCAR):
```
TmTa2Mn9
1.0
2.412 1.392 7.899
-2.412 1.392 7.899
0.000 -2.785 7.899
Tm Ta Mn
1 2 9
Direct
0.000 0.000 0.000
0.142 0.142 0.142
0.858 0.858 0.858
0.073 0.591 0.591
0.338 0.338 0.338
0.409 0.409 0.927
0.409 0.927 0.409
0.500 0.500 0.500
0.591 0.073 0.591
0.591 0.591 0.073
0.662 0.662 0.662
0.927 0.409 0.409
```

Crystal system: trigonal
ΔH_f (0 K) in eV/atom: -0.09
Total magnetization in μB/f.u.: 2.89
Calculated total energy in eV for the cell shown: -111.76
SG: R-3m (166)



Entry 6:
The following is a DFT calculation (PBE-GGA) of a relaxed structure of UTaMn4.

Structure (POSCAR):
```
UTaMn4
1.0
0.000 3.491 3.491
3.491 0.000 3.491
3.491 3.491 0.000
U Ta Mn
1 1 4
Direct
0.000 0.000 0.000
0.250 0.250 0.250
0.125 0.625 0.625
0.625 0.125 0.625
0.625 0.625 0.125
0.625 0.625 0.625
```

Crystal system: cubic
ΔH_f (0 K) in eV/atom: 0.07
Total magnetization in μB/f.u.: 4.76
Calculated total energy in eV for the cell shown: -59.37
SG: F-43m (216)



Entry 7:
The following is a DFT calculation (PBE-GGA) of a relaxed structure of UTaMn.

Structure (POSCAR):
```
UTaMn
1.0
-1.643 1.643 10.374
1.643 -1.643 10.374
1.643 1.643 -10.374
U Ta Mn
2 2 2
Direct
0.158 0.158 0.000
0.842 0.842 0.000
0.434 0.434 0.000
0.566 0.566 0.000
0.302 0.302 0.000
0.698 0.698 0.000
```

Crystal system: tetragonal
ΔH_f (0 K) in eV/atom: 0.63
Total magnetization in μB/f.u.: 0.00
Calculated total energy in eV for the cell shown: -60.85
SG: I4/mmm (139)



Entry 8:
The following is a DFT calculation (PBE-GGA) of a relaxed structure of TaMnV.

Structure (POSCAR):
```
TaMnV
1.0
4.188 0.000 0.000
-2.094 3.627 0.000
0.000 0.000 2.796
Ta Mn V
1 1 1
Direct
0.000 0.000 0.000
0.667 0.333 0.672
0.333 0.667 0.368
```

Crystal system: trigonal
ΔH_f (0 K) in eV/atom: -0.02
E above lowest polymorph in meV/atom: 215
Total magnetization in μB/f.u.: 0.00
Calculated total energy in eV for the cell shown: -30.19
SG: P3m1 (156)



Entry 9:
The following is a DFT calculation (PBE-GGA) of a relaxed structure of Ta2MnV3.

Structure (POSCAR):
```
Ta2MnV3
1.0
2.516 1.453 4.008
-2.516 1.453 4.008
0.000 -2.905 4.008
Ta Mn V
2 1 3
Direct
0.126 0.126 0.126
0.874 0.874 0.874
0.500 0.500 0.500
0.000 0.500 0.500
0.500 0.000 0.500
0.500 0.500 0.000
```

Crystal system: trigonal
ΔH_f (0 K) in eV/atom: -0.23
Total magnetization in μB/f.u.: 0.00
Calculated total energy in eV for the cell shown: -61.62
SG: R-3m (166)



Entry 10:
The following is a DFT calculation (PBE-GGA) of a relaxed structure of TaMnV.

Structure (POSCAR):
```
TaMnV
1.0
-2.479 2.501 3.431
2.479 -2.501 3.431
2.479 2.501 -3.431
Ta Mn V
2 2 2
Direct
0.378 0.128 0.250
0.622 0.872 0.750
0.000 0.500 0.500
0.500 0.500 0.000
0.000 0.000 0.500
0.000 0.500 0.000
```

Crystal system: orthorhombic
ΔH_f (0 K) in eV/atom: -0.23
E above lowest polymorph in meV/atom: 0
Total magnetization in μB/f.u.: 0.55
Calculated total energy in eV for the cell shown: -61.67
SG: Imma (74)



Entry 11:
The following is a DFT calculation (PBE-GGA) of a relaxed structure of TaMnV3.

Structure (POSCAR):
```
TaMnV3
1.0
2.573 -5.706 0.000
2.573 5.706 0.000
0.000 0.000 4.909
Ta Mn V
2 2 6
Direct
0.076 0.924 0.750
0.924 0.076 0.250
0.500 0.500 0.000
0.500 0.500 0.500
0.098 0.409 0.750
0.326 0.674 0.250
0.409 0.098 0.250
0.591 0.902 0.750
0.674 0.326 0.750
0.902 0.591 0.250
```

Crystal system: orthorhombic
ΔH_f (0 K) in eV/atom: 0.15
E above lowest polymorph in meV/atom: 0
Total magnetization in μB/f.u.: 0.00
Calculated total energy in eV for the cell shown: -95.27
SG: Cmcm (63)



Entry 12:
The following is a DFT calculation (PBE-GGA) of a relaxed structure of TaMn2V4.

Structure (POSCAR):
```
TaMn2V4
1.0
-2.283 2.283 6.119
2.283 -2.283 6.119
2.283 2.283 -6.119
Ta Mn V
1 2 4
Direct
0.000 0.000 0.000
0.386 0.386 0.000
0.614 0.614 0.000
0.000 0.500 0.500
0.205 0.205 0.000
0.500 0.000 0.500
0.795 0.795 0.000
```

Crystal system: tetragonal
ΔH_f (0 K) in eV/atom: 1.25
Total magnetization in μB/f.u.: 0.44
Calculated total energy in eV for the cell shown: -57.91
SG: I4/mmm (139)



Entry 13:
The following is a DFT calculation (PBE-GGA) of a relaxed structure of Ta3MnV.

Structure (POSCAR):
```
Ta3MnV
1.0
4.581 0.000 0.000
0.000 4.581 0.000
0.000 0.000 4.581
Ta Mn V
3 1 1
Direct
0.000 0.000 0.500
0.000 0.500 0.000
0.500 0.000 0.000
0.000 0.000 0.000
0.500 0.500 0.500
```

Crystal system: cubic
ΔH_f (0 K) in eV/atom: 0.95
E above lowest polymorph in meV/atom: 0
Total magnetization in μB/f.u.: 2.77
Calculated total energy in eV for the cell shown: -49.07
SG: Pm-3m (221)



Entry 14:
The following is a DFT calculation (PBE-GGA) of a relaxed structure of TaMn3V.

Structure (POSCAR):
```
TaMn3V
1.0
4.154 0.000 0.000
0.000 4.154 0.000
0.000 0.000 4.154
Ta Mn V
1 3 1
Direct
0.000 0.000 0.000
0.000 0.500 0.500
0.500 0.000 0.500
0.500 0.500 0.000
0.500 0.500 0.500
```

Crystal system: cubic
ΔH_f (0 K) in eV/atom: 0.92
E above lowest polymorph in meV/atom: 0
Total magnetization in μB/f.u.: 0.00
Calculated total energy in eV for the cell shown: -43.88
SG: Pm-3m (221)



Entry 15:
The following is a DFT calculation (PBE-GGA) of a relaxed structure of TaMn4V.

Structure (POSCAR):
```
TaMn4V
1.0
5.828 0.000 0.000
0.000 4.019 0.000
0.000 0.000 6.589
Ta Mn V
2 8 2
Direct
0.250 0.000 0.139
0.750 0.000 0.861
0.000 0.000 0.500
0.029 0.500 0.826
0.250 0.500 0.455
0.471 0.500 0.826
0.500 0.000 0.500
0.529 0.500 0.174
0.750 0.500 0.545
0.971 0.500 0.174
0.250 0.000 0.751
0.750 0.000 0.249
```

Crystal system: orthorhombic
ΔH_f (0 K) in eV/atom: 0.12
E above lowest polymorph in meV/atom: 256
Total magnetization in μB/f.u.: 1.59
Calculated total energy in eV for the cell shown: -113.84
SG: Pmma (51)



Entry 16:
The following is a DFT calculation (PBE-GGA) of a relaxed structure of TaMnV.

Structure (POSCAR):
```
TaMnV
1.0
-1.506 1.506 4.663
1.506 -1.506 4.663
1.506 1.506 -4.663
Ta Mn V
1 1 1
Direct
0.000 0.000 0.000
0.332 0.332 0.000
0.684 0.684 0.000
```

Crystal system: tetragonal
ΔH_f (0 K) in eV/atom: -0.15
E above lowest polymorph in meV/atom: 81
Total magnetization in μB/f.u.: 0.00
Calculated total energy in eV for the cell shown: -30.59
SG: I4mm (107)



Entry 17:
The following is a DFT calculation (PBE-GGA) of a relaxed structure of Ta2Mn3V.

Structure (POSCAR):
```
Ta2Mn3V
1.0
3.007 0.000 0.000
0.000 3.007 0.000
0.000 0.000 9.008
Ta Mn V
2 3 1
Direct
0.000 0.000 0.172
0.000 0.000 0.828
0.500 0.500 0.000
0.500 0.500 0.344
0.500 0.500 0.656
0.000 0.000 0.500
```

Crystal system: tetragonal
ΔH_f (0 K) in eV/atom: -0.22
Total magnetization in μB/f.u.: 0.00
Calculated total energy in eV for the cell shown: -61.66
SG: P4/mmm (123)



Entry 18:
The following is a DFT calculation (PBE-GGA) of a relaxed structure of TaMn3V.

Structure (POSCAR):
```
TaMn3V
1.0
4.647 0.000 0.000
0.000 4.647 0.000
0.000 0.000 4.647
Ta Mn V
1 3 1
Direct
0.000 0.000 0.000
0.000 0.000 0.500
0.000 0.500 0.000
0.500 0.000 0.000
0.500 0.500 0.500
```

Crystal system: cubic
ΔH_f (0 K) in eV/atom: 1.57
E above lowest polymorph in meV/atom: 645
Total magnetization in μB/f.u.: 11.52
Calculated total energy in eV for the cell shown: -40.65
SG: Pm-3m (221)



Entry 19:
The following is a DFT calculation (PBE-GGA) of a relaxed structure of TaMn2V.

Structure (POSCAR):
```
TaMn2V
1.0
-1.789 1.789 9.168
1.789 -1.789 9.168
1.789 1.789 -9.168
Ta Mn V
2 4 2
Direct
0.000 0.000 0.000
0.750 0.250 0.500
0.203 0.625 0.078
0.375 0.453 0.578
0.547 0.125 0.922
0.875 0.797 0.422
0.250 0.750 0.500
0.500 0.500 0.000
```

Crystal system: tetragonal
ΔH_f (0 K) in eV/atom: 0.71
Total magnetization in μB/f.u.: 0.00
Calculated total energy in eV for the cell shown: -72.95
SG: I-42d (122)



Entry 20:
The following is a DFT calculation (PBE-GGA) of a relaxed structure of TaMn2V.

Structure (POSCAR):
```
TaMn2V
1.0
2.975 0.000 0.000
0.000 2.975 0.000
0.000 0.000 5.950
Ta Mn V
1 2 1
Direct
0.000 0.000 0.000
0.500 0.500 0.263
0.500 0.500 0.737
0.000 0.000 0.500
```

Crystal system: tetragonal
ΔH_f (0 K) in eV/atom: -0.22
Total magnetization in μB/f.u.: 0.00
Calculated total energy in eV for the cell shown: -40.19
SG: P4/mmm (123)



Entry 21:
The following is a DFT calculation (PBE-GGA) of a relaxed structure of Ta2MnV.

Structure (POSCAR):
```
Ta2MnV
1.0
3.092 0.000 0.000
0.000 3.092 0.000
0.000 0.000 6.311
Ta Mn V
2 1 1
Direct
0.000 0.000 0.242
0.000 0.000 0.758
0.500 0.500 0.000
0.500 0.500 0.500
```

Crystal system: tetragonal
ΔH_f (0 K) in eV/atom: -0.13
Total magnetization in μB/f.u.: 0.00
Calculated total energy in eV for the cell shown: -42.49
SG: P4/mmm (123)



Entry 22:
The following is a DFT calculation (PBE-GGA) of a relaxed structure of Ta2Mn2V.

Structure (POSCAR):
```
Ta2Mn2V
1.0
6.683 0.000 0.000
0.000 6.683 0.000
0.000 0.000 3.317
Ta Mn V
4 4 2
Direct
0.195 0.305 0.000
0.305 0.805 0.000
0.695 0.195 0.000
0.805 0.695 0.000
0.110 0.610 0.500
0.390 0.110 0.500
0.610 0.890 0.500
0.890 0.390 0.500
0.000 0.000 0.500
0.500 0.500 0.500
```

Crystal system: tetragonal
ΔH_f (0 K) in eV/atom: 0.16
Total magnetization in μB/f.u.: 0.00
Calculated total energy in eV for the cell shown: -100.77
SG: P4/mbm (127)



Entry 23:
The following is a DFT calculation (PBE-GGA) of a relaxed structure of TaMnV3.

Structure (POSCAR):
```
TaMnV3
1.0
4.285 0.000 0.000
0.000 4.285 0.000
0.000 0.000 4.285
Ta Mn V
1 1 3
Direct
0.000 0.000 0.000
0.500 0.500 0.500
0.000 0.500 0.500
0.500 0.000 0.500
0.500 0.500 0.000
```

Crystal system: cubic
ΔH_f (0 K) in eV/atom: 0.71
E above lowest polymorph in meV/atom: 560
Total magnetization in μB/f.u.: 0.83
Calculated total energy in eV for the cell shown: -44.83
SG: Pm-3m (221)



Entry 24:
The following is a DFT calculation (PBE-GGA) of a relaxed structure of TaMn4V.

Structure (POSCAR):
```
TaMn4V
1.0
0.000 3.347 3.347
3.347 0.000 3.347
3.347 3.347 0.000
Ta Mn V
1 4 1
Direct
0.000 0.000 0.000
0.375 0.375 0.375
0.375 0.375 0.874
0.375 0.874 0.375
0.874 0.375 0.375
0.750 0.750 0.750
```

Crystal system: cubic
ΔH_f (0 K) in eV/atom: -0.13
E above lowest polymorph in meV/atom: 0
Total magnetization in μB/f.u.: 0.00
Calculated total energy in eV for the cell shown: -58.46
SG: F-43m (216)



Entry 25:
The following is a DFT calculation (PBE-GGA) of a relaxed structure of Ta3Mn4V.

Structure (POSCAR):
```
Ta3Mn4V
1.0
3.021 0.000 0.000
0.000 3.021 0.000
0.000 0.000 12.069
Ta Mn V
3 4 1
Direct
0.000 0.000 0.000
0.000 0.000 0.256
0.000 0.000 0.744
0.500 0.500 0.128
0.500 0.500 0.384
0.500 0.500 0.616
0.500 0.500 0.872
0.000 0.000 0.500
```

Crystal system: tetragonal
ΔH_f (0 K) in eV/atom: -0.23
Total magnetization in μB/f.u.: 0.00
Calculated total energy in eV for the cell shown: -83.16
SG: P4/mmm (123)



Entry 26:
The following is a DFT calculation (PBE-GGA) of a relaxed structure of TaMn2V.

Structure (POSCAR):
```
TaMn2V
1.0
-1.359 2.261 4.676
1.359 -2.261 4.676
1.359 2.261 -4.676
Ta Mn V
1 2 1
Direct
0.000 0.000 0.000
0.268 0.268 0.000
0.732 0.732 0.000
0.500 0.500 0.000
```

Crystal system: orthorhombic
ΔH_f (0 K) in eV/atom: 0.66
Total magnetization in μB/f.u.: 1.80
Calculated total energy in eV for the cell shown: -36.67
SG: Immm (71)



Entry 27:
The following is a DFT calculation (PBE-GGA) of a relaxed structure of TaMn5V4.

Structure (POSCAR):
```
TaMn5V4
1.0
2.915 0.000 0.000
0.000 2.915 0.000
0.000 0.000 14.594
Ta Mn V
1 5 4
Direct
0.000 0.000 0.000
0.500 0.500 0.110
0.500 0.500 0.305
0.500 0.500 0.500
0.500 0.500 0.695
0.500 0.500 0.890
0.000 0.000 0.206
0.000 0.000 0.402
0.000 0.000 0.598
0.000 0.000 0.794
```

Crystal system: tetragonal
ΔH_f (0 K) in eV/atom: -0.24
Total magnetization in μB/f.u.: 0.00
Calculated total energy in eV for the cell shown: -96.60
SG: P4/mmm (123)